Computed, not measured: crystalline ErTlBr4 at its relaxed geometry at the GGA-PBE level of DFT.

ΔE_f (raw): -1521.1 meV per atom
Crystal system: triclinic
Density of states at the Fermi level: 0.0 states/eV/cell
Symmetry: No. 2

```
data_ErTlBr4
_chemical_formula_sum 'Er1 Tl1 Br4'
_space_group_name_H-M_alt 'P 1'
_space_group_IT_number 1
_space_group_name_Hall 'P 1'
_cell_length_a 4.2313
_cell_length_b 7.1433
_cell_length_c 8.4104
_cell_angle_alpha 102.72
_cell_angle_beta 90.01
_cell_angle_gamma 107.16
loop_
_atom_site_label
_atom_site_type_symbol
_atom_site_fract_x
_atom_site_fract_y
_atom_site_fract_z
Er1 Er 0.0000 0.0000 0.0000
Tl1 Tl 0.5000 0.0000 0.5000
Br1 Br 0.1199 0.2405 0.3091
Br2 Br 0.3840 0.7673 0.0891
Br3 Br 0.6160 0.2327 0.9109
Br4 Br 0.8801 0.7595 0.6909
```

Computed, not measured: crystalline Er3Tl6Br14 at its relaxed geometry at the GGA-PBE level of DFT.

ΔE_f (raw): -1256.7 meV per atom
Crystal system: trigonal
Density of states at the Fermi level: 8.3 states/eV/cell
Symmetry: No. 143

```
data_Er3Tl6Br14
_chemical_formula_sum 'Er3 Tl6 Br14'
_space_group_name_H-M_alt 'P 1'
_space_group_IT_number 1
_space_group_name_Hall 'P 1'
_cell_length_a 12.0590
_cell_length_b 12.0590
_cell_length_c 7.2655
_cell_angle_alpha 90.00
_cell_angle_beta 90.00
_cell_angle_gamma 120.00
loop_
_atom_site_label
_atom_site_type_symbol
_atom_site_fract_x
_atom_site_fract_y
_atom_site_fract_z
Er1 Er 0.0000 0.0000 0.0000
Er2 Er 0.3333 0.6667 0.4619
Er3 Er 0.6667 0.3333 0.3646
Tl1 Tl 0.0137 0.5363 0.0237
Tl2 Tl 0.3064 0.0950 0.5754
Tl3 Tl 0.4637 0.4774 0.0237
Tl4 Tl 0.5226 0.9863 0.0237
Tl5 Tl 0.7886 0.6936 0.5754
Tl6 Tl 0.9050 0.2114 0.5754
Br1 Br 0.0000 0.0000 0.3647
Br2 Br 0.0738 0.8463 0.8555
Br3 Br 0.1537 0.2275 0.8555
Br4 Br 0.1920 0.4350 0.3235
Br5 Br 0.2430 0.8080 0.3235
Br6 Br 0.3333 0.6667 0.8269
Br7 Br 0.4472 0.2015 0.1437
Br8 Br 0.5246 0.4106 0.5806
Br9 Br 0.5650 0.7570 0.3235
Br10 Br 0.5894 0.1141 0.5806
Br11 Br 0.7543 0.5528 0.1437
Br12 Br 0.7725 0.9262 0.8555
Br13 Br 0.7985 0.2457 0.1437
Br14 Br 0.8859 0.4754 0.5806
```

Computed, not measured: crystalline ErTm2Br at its relaxed geometry at the GGA-PBE level of DFT.

ΔE_f (raw): -164.6 meV per atom
Crystal system: trigonal
Density of states at the Fermi level: 6.0 states/eV/cell
Symmetry: No. 166

```
data_ErTm2Br
_chemical_formula_sum 'Er1 Tm2 Br1'
_space_group_name_H-M_alt 'P 1'
_space_group_IT_number 1
_space_group_name_Hall 'P 1'
_cell_length_a 11.5881
_cell_length_b 11.5881
_cell_length_c 11.5881
_cell_angle_alpha 17.11
_cell_angle_beta 17.11
_cell_angle_gamma 17.11
loop_
_atom_site_label
_atom_site_type_symbol
_atom_site_fract_x
_atom_site_fract_y
_atom_site_fract_z
Er1 Er 0.0000 0.0000 0.0000
Tm1 Tm 0.0977 0.0977 0.0977
Tm2 Tm 0.9023 0.9023 0.9023
Br1 Br 0.5000 0.5000 0.5000
```

Computed, not measured: crystalline ErTmBr at its relaxed geometry at the GGA-PBE level of DFT.

ΔE_f (raw): -713.5 meV per atom
Crystal system: trigonal
Density of states at the Fermi level: 3.7 states/eV/cell
Symmetry: No. 156

```
data_ErTmBr
_chemical_formula_sum 'Er1 Tm1 Br1'
_space_group_name_H-M_alt 'P 1'
_space_group_IT_number 1
_space_group_name_Hall 'P 1'
_cell_length_a 3.6698
_cell_length_b 3.6698
_cell_length_c 7.1945
_cell_angle_alpha 90.00
_cell_angle_beta 90.00
_cell_angle_gamma 120.00
loop_
_atom_site_label
_atom_site_type_symbol
_atom_site_fract_x
_atom_site_fract_y
_atom_site_fract_z
Er1 Er 0.0000 0.0000 0.0000
Tm1 Tm 0.6667 0.3333 0.3598
Br1 Br 0.3333 0.6667 0.6791
```